# 1
# LiZn2SiPd2 (GGA-PBE, optimized geometry)
# ΔE_f (raw) ... -2.8 eV/f.u.
data_LiZn2SiPd2
_cell_length_a 4.174
_cell_length_b 7.863
_cell_length_c 5.154
_cell_angle_alpha 90.00
_cell_angle_beta 90.00
_cell_angle_gamma 90.00
_space_group_name_H-M_alt 'P m c 21'
_space_group_IT_number 26
loop_
_space_group_symop_operation_xyz
'x,y,z'
'-x,-y,z+1/2'
'-x,y,z'
'x,-y,z+1/2'
loop_
_atom_site_label
_atom_site_fract_x
_atom_site_fract_y
_atom_site_fract_z
_atom_site_occupancy
Li1 0.000 0.001 0.000 1
Zn1 0.000 0.325 0.871 1
Zn2 0.500 0.475 0.628 1
Si1 0.500 0.187 0.221 1
Pd1 0.000 0.328 0.365 1
Pd2 0.500 0.125 0.730 1

=====

# 2
# LiZn2SiPd (GGA-PBE, optimized geometry)
# ΔE_f (raw) ... 0.4 eV/f.u.
data_LiZn2SiPd
_cell_length_a 4.629
_cell_length_b 4.629
_cell_length_c 4.647
_cell_angle_alpha 90.00
_cell_angle_beta 90.00
_cell_angle_gamma 90.00
_space_group_name_H-M_alt 'P 4/m m m'
_space_group_IT_number 123
_space_group_name_Hall '-P 4 2'
loop_
_atom_site_label
_atom_site_fract_x
_atom_site_fract_y
_atom_site_fract_z
_atom_site_occupancy
Li1 0.000 0.000 0.000 1
Zn1 0.000 0.500 0.500 1
Si1 0.500 0.500 0.500 1
Pd1 0.500 0.500 0.000 1

=====

# 3
# Li2ZnSi2Pd5 (GGA-PBE, optimized geometry)
# ΔE_f (raw) ... -5.8 eV/f.u.
data_Li2ZnSi2Pd5
_cell_length_a 9.382
_cell_length_b 9.382
_cell_length_c 3.463
_cell_angle_alpha 90.00
_cell_angle_beta 90.00
_cell_angle_gamma 90.00
_space_group_name_H-M_alt 'P 4/m b m'
_space_group_IT_number 127
_space_group_name_Hall '-P 4 2ab'
loop_
_atom_site_label
_atom_site_fract_x
_atom_site_fract_y
_atom_site_fract_z
_atom_site_occupancy
Li1 0.169 0.331 0.000 1
Zn1 0.000 0.000 0.000 1
Si1 0.131 0.631 0.000 1
Pd1 0.000 0.500 0.500 1
Pd2 0.076 0.798 0.500 1

=====

# 4
# LiZrSiPd (GGA-PBE, optimized geometry)
# ΔE_f (raw) ... -2.1 eV/f.u.
data_LiZrSiPd
_cell_length_a 6.399
_cell_length_b 6.399
_cell_length_c 6.399
_cell_angle_alpha 90.00
_cell_angle_beta 90.00
_cell_angle_gamma 90.00
_space_group_name_H-M_alt 'F -4 3 m'
_space_group_IT_number 216
_space_group_name_Hall 'F -4 2 3'
loop_
_atom_site_label
_atom_site_fract_x
_atom_site_fract_y
_atom_site_fract_z
_atom_site_occupancy
Li1 0.000 0.000 0.000 1
Zr1 0.000 0.000 0.500 1
Si1 0.250 0.250 0.250 1
Pd1 0.250 0.250 0.750 1

=====

# 5
# Li7SmPd4 (GGA-PBE, optimized geometry)
# DFT formation energy ... -2.78 eV per formula unit
data_Li7SmPd4
_cell_length_a 10.038
_cell_length_b 4.958
_cell_length_c 9.202
_cell_angle_alpha 90.00
_cell_angle_beta 116.93
_cell_angle_gamma 90.00
_space_group_name_H-M_alt 'C 1 2/m 1'
_space_group_IT_number 12
loop_
_space_group_symop_operation_xyz
'x,y,z'
'-x,-y,-z'
'-x,y,-z'
'x,-y,z'
'x+1/2,y+1/2,z'
'-x+1/2,-y+1/2,-z'
'-x+1/2,y+1/2,-z'
'x+1/2,-y+1/2,z'
loop_
_atom_site_label
_atom_site_fract_x
_atom_site_fract_y
_atom_site_fract_z
_atom_site_occupancy
Li1 0.000 0.000 0.000 1
Li2 0.123 0.500 0.430 1
Li3 0.142 0.000 0.620 1
Li4 0.184 0.500 0.777 1
Sm1 0.000 0.500 0.000 1
Pd1 0.105 0.000 0.309 1
Pd2 0.190 0.000 0.917 1

=====

# 6
# Li2SmPd5 (GGA-PBE, optimized geometry)
# DFT formation energy ... -3.92 eV per formula unit
data_Li2SmPd5
_cell_length_a 6.710
_cell_length_b 6.710
_cell_length_c 5.971
_cell_angle_alpha 90.00
_cell_angle_beta 90.00
_cell_angle_gamma 90.00
_space_group_name_H-M_alt 'I 4/m m m'
_space_group_IT_number 139
_space_group_name_Hall '-I 4 2'
loop_
_atom_site_label
_atom_site_fract_x
_atom_site_fract_y
_atom_site_fract_z
_atom_site_occupancy
Li1 0.000 0.500 0.000 1
Sm1 0.000 0.000 0.000 1
Pd1 0.000 0.000 0.500 1
Pd2 0.250 0.250 0.250 1